# RbI

Crystalline RbI at its relaxed geometry (PBE-GGA, the Alexandria database).

POSCAR file:
```
RbI
1.0
0.000 3.733 3.733
3.733 0.000 3.733
3.733 3.733 0.000
Rb I
1 1
direct
0.000 0.000 0.000
0.500 0.500 0.500
```

Computed properties:
Calculated total energy (eV per formula unit): -5.52
DOS(E_F) (states/eV/f.u.): 0.00
Theoretical density (g/cm3): 3.39
ΔE_f (raw) (kJ/mol of formula units): -289.3


# BaFeCoP2

Crystalline BaFeCoP2 at its relaxed geometry (PBE-GGA, the Alexandria database).

POSCAR file:
```
BaFeCoP2
1.0
-1.888 1.888 6.302
1.888 -1.888 6.302
1.888 1.888 -6.302
Ba Fe Co P
1 1 1 2
direct
0.000 0.000 0.000
0.750 0.250 0.500
0.250 0.750 0.500
0.341 0.341 0.000
0.659 0.659 0.000
```

Computed properties:
Calculated total energy (eV per formula unit): -32.51
DOS(E_F) (states/eV/f.u.): 2.10
Theoretical density (g/cm3): 5.80


# Pr4NdRh4

Crystalline Pr4NdRh4 at its relaxed geometry (PBE-GGA, the Alexandria database).

POSCAR file:
```
Pr4NdRh4
1.0
9.065 0.000 0.000
0.000 9.065 0.000
0.000 0.000 5.847
Pr Nd Rh
8 2 8
direct
0.063 0.663 0.165
0.163 0.937 0.665
0.337 0.563 0.665
0.437 0.837 0.165
0.563 0.163 0.835
0.663 0.437 0.335
0.837 0.063 0.335
0.937 0.337 0.835
0.250 0.250 0.250
0.750 0.750 0.750
0.029 0.627 0.657
0.127 0.971 0.157
0.373 0.529 0.157
0.471 0.873 0.657
0.529 0.127 0.343
0.627 0.471 0.843
0.873 0.029 0.843
0.971 0.373 0.343
```

Computed properties:
Calculated total energy (eV per formula unit): -58.11
DOS(E_F) (states/eV/f.u.): 5.98
Theoretical density (g/cm3): 7.74


# AlRh2Pb

Crystalline AlRh2Pb at its relaxed geometry (PBE-GGA, the Alexandria database).

POSCAR file:
```
AlRh2Pb
1.0
-1.622 1.972 5.458
1.622 -1.972 5.458
1.622 1.972 -5.458
Al Rh Pb
1 2 1
direct
0.000 0.000 0.000
0.170 0.670 0.500
0.446 0.446 0.000
0.757 0.257 0.500
```

Computed properties:
Calculated total energy (eV per formula unit): -23.30
DOS(E_F) (states/eV/f.u.): 1.65
Theoretical density (g/cm3): 10.46


# CaCe2Pr3N6

Crystalline CaCe2Pr3N6 at its relaxed geometry (PBE-GGA, the Alexandria database).

POSCAR file:
```
CaCe2Pr3N6
1.0
7.835 -1.820 0.000
7.835 1.820 0.000
-1.717 0.000 7.060
Ca Ce Pr N
1 2 3 6
direct
0.000 0.000 0.000
0.336 0.336 0.671
0.664 0.664 0.329
0.000 0.000 0.500
0.335 0.335 0.164
0.665 0.665 0.836
0.170 0.170 0.097
0.172 0.172 0.574
0.490 0.490 0.740
0.510 0.510 0.260
0.828 0.828 0.426
0.830 0.830 0.903
```

Computed properties:
Calculated total energy (eV per formula unit): -94.04
DOS(E_F) (states/eV/f.u.): 4.17
Theoretical density (g/cm3): 6.82
ΔE_f (raw) (kJ/mol of formula units): -1532.0


# ScTlZn2

Crystalline ScTlZn2 at its relaxed geometry (PBE-GGA, the Alexandria database).

POSCAR file:
```
ScTlZn2
1.0
-2.159 2.159 4.229
2.159 -2.159 4.229
2.159 2.159 -4.229
Sc Tl Zn
1 1 2
direct
0.000 0.000 0.000
0.250 0.750 0.500
0.500 0.500 0.000
0.750 0.250 0.500
```

Computed properties:
Energy above the lowest structure with this stoichiometry (meV/atom): 101
Calculated total energy (eV per formula unit): -11.52
DOS(E_F) (states/eV/f.u.): 2.36
Theoretical density (g/cm3): 8.01


# Pm3Sc5

Crystalline Pm3Sc5 at its relaxed geometry (PBE-GGA, the Alexandria database).

POSCAR file:
```
Pm3Sc5
1.0
3.439 0.000 0.000
0.000 3.439 0.000
0.000 0.000 18.944
Pm Sc
3 5
direct
0.000 0.000 0.000
0.500 0.500 0.144
0.500 0.500 0.856
0.000 0.000 0.273
0.000 0.000 0.500
0.000 0.000 0.727
0.500 0.500 0.387
0.500 0.500 0.613
```

Computed properties:
Energy above the lowest structure with this stoichiometry (meV/atom): 6
Calculated total energy (eV per formula unit): -45.38
DOS(E_F) (states/eV/f.u.): 14.76
Theoretical density (g/cm3): 4.89


# Tb8Nd6In

Crystalline Tb8Nd6In at its relaxed geometry (PBE-GGA, the Alexandria database).

POSCAR file:
```
Tb8Nd6In
1.0
9.450 0.000 0.000
-4.725 8.184 0.000
0.000 0.000 6.480
Tb Nd In
8 6 1
direct
0.039 0.775 0.185
0.225 0.263 0.185
0.263 0.039 0.815
0.333 0.667 0.156
0.667 0.333 0.844
0.737 0.961 0.185
0.775 0.737 0.815
0.961 0.225 0.815
0.090 0.642 0.679
0.358 0.448 0.679
0.448 0.090 0.321
0.552 0.910 0.679
0.642 0.552 0.321
0.910 0.358 0.321
0.000 0.000 0.500
```

Computed properties:
Calculated total energy (eV per formula unit): -67.42
DOS(E_F) (states/eV/f.u.): 17.65
Theoretical density (g/cm3): 7.46


# Ca3Sm3PuSe8

Crystalline Ca3Sm3PuSe8 at its relaxed geometry (PBE-GGA, the Alexandria database).

POSCAR file:
```
Ca3Sm3PuSe8
1.0
4.170 2.408 6.883
-4.170 2.408 6.883
0.000 -4.815 6.883
Ca Sm Pu Se
3 3 1 8
direct
0.000 0.500 0.500
0.500 0.000 0.500
0.500 0.500 0.000
0.000 0.000 0.500
0.000 0.500 0.000
0.500 0.000 0.000
0.500 0.500 0.500
0.248 0.750 0.750
0.250 0.250 0.250
0.250 0.250 0.752
0.250 0.752 0.250
0.750 0.248 0.750
0.750 0.750 0.248
0.750 0.750 0.750
0.752 0.250 0.250
```

Computed properties:
Calculated total energy (eV per formula unit): -90.14
DOS(E_F) (states/eV/f.u.): 16.59
Theoretical density (g/cm3): 5.80
ΔE_f (raw) (kJ/mol of formula units): -2679.2


# SrLi2La2Ga2

Crystalline SrLi2La2Ga2 at its relaxed geometry (PBE-GGA, the Alexandria database).

POSCAR file:
```
SrLi2La2Ga2
1.0
2.395 1.383 9.483
-2.395 1.383 9.483
0.000 -2.766 9.483
Sr Li La Ga
1 2 2 2
direct
0.000 0.000 0.000
0.405 0.405 0.405
0.595 0.595 0.595
0.133 0.133 0.133
0.867 0.867 0.867
0.254 0.254 0.254
0.746 0.746 0.746
```

Computed properties:
Calculated total energy (eV per formula unit): -23.37
DOS(E_F) (states/eV/f.u.): 5.06
Theoretical density (g/cm3): 4.57


# Ta3SeO

Crystalline Ta3SeO at its relaxed geometry (PBE-GGA, the Alexandria database).

POSCAR file:
```
Ta3SeO
1.0
4.273 0.000 0.000
0.000 4.273 0.000
0.000 0.000 4.273
Ta Se O
3 1 1
direct
0.000 0.000 0.500
0.000 0.500 0.000
0.500 0.000 0.000
0.500 0.500 0.500
0.000 0.000 0.000
```

Computed properties:
Energy above the lowest structure with this stoichiometry (meV/atom): 0
Calculated total energy (eV per formula unit): -45.35
DOS(E_F) (states/eV/f.u.): 2.84
Theoretical density (g/cm3): 13.58
ΔE_f (raw) (kJ/mol of formula units): -130.6


# LiMg2Ta

Crystalline LiMg2Ta at its relaxed geometry (PBE-GGA, the Alexandria database).

POSCAR file:
```
LiMg2Ta
1.0
2.791 0.000 0.000
0.000 5.066 0.000
0.000 0.000 5.532
Li Mg Ta
1 2 1
direct
0.000 0.000 0.000
0.500 0.000 0.459
0.500 0.500 0.799
0.000 0.500 0.295
```

Computed properties:
Energy above the lowest structure with this stoichiometry (meV/atom): 163
Calculated total energy (eV per formula unit): -15.73
DOS(E_F) (states/eV/f.u.): 3.65
Theoretical density (g/cm3): 5.02


# TcAgPd3

Crystalline TcAgPd3 at its relaxed geometry (PBE-GGA, the Alexandria database).

POSCAR file:
```
TcAgPd3
1.0
4.857 0.000 0.000
0.000 4.857 0.000
0.000 0.000 4.857
Tc Ag Pd
1 1 3
direct
0.000 0.000 0.000
0.500 0.500 0.500
0.000 0.500 0.500
0.500 0.000 0.500
0.500 0.500 0.000
```

Computed properties:
Energy above the lowest structure with this stoichiometry (meV/atom): 426
Calculated total energy (eV per formula unit): -21.08
DOS(E_F) (states/eV/f.u.): 3.01
Theoretical density (g/cm3): 7.61


# ZnCu2Au8

Crystalline ZnCu2Au8 at its relaxed geometry (PBE-GGA, the Alexandria database).

POSCAR file:
```
ZnCu2Au8
1.0
7.108 -2.093 0.000
7.108 2.093 0.000
-2.197 0.000 6.216
Zn Cu Au
1 2 8
direct
0.000 0.000 0.000
0.277 0.277 0.362
0.723 0.723 0.638
0.101 0.101 0.456
0.179 0.179 0.925
0.355 0.355 0.798
0.455 0.455 0.271
0.545 0.545 0.729
0.645 0.645 0.202
0.821 0.821 0.075
0.899 0.899 0.544
```

Computed properties:
Energy above the lowest structure with this stoichiometry (meV/atom): 0
Calculated total energy (eV per formula unit): -36.26
DOS(E_F) (states/eV/f.u.): 3.30
Theoretical density (g/cm3): 15.87


# LuGePtRh

Crystalline LuGePtRh at its relaxed geometry (PBE-GGA, the Alexandria database).

POSCAR file:
```
LuGePtRh
1.0
0.000 3.244 3.244
3.244 0.000 3.244
3.244 3.244 0.000
Lu Ge Pt Rh
1 1 1 1
direct
0.000 0.000 0.000
0.500 0.500 0.500
0.750 0.750 0.750
0.250 0.250 0.250
```

Computed properties:
Calculated total energy (eV per formula unit): -25.56
DOS(E_F) (states/eV/f.u.): 3.78
Theoretical density (g/cm3): 13.27


# Mg2InGa9

Crystalline Mg2InGa9 at its relaxed geometry (PBE-GGA, the Alexandria database).

POSCAR file:
```
Mg2InGa9
1.0
4.249 0.000 0.000
0.000 4.249 0.000
0.000 0.000 12.853
Mg In Ga
2 1 9
direct
0.000 0.000 0.159
0.000 0.000 0.841
0.000 0.000 0.500
0.000 0.500 0.000
0.000 0.500 0.321
0.000 0.500 0.679
0.500 0.000 0.000
0.500 0.000 0.321
0.500 0.000 0.679
0.500 0.500 0.157
0.500 0.500 0.500
0.500 0.500 0.843
```

Computed properties:
Calculated total energy (eV per formula unit): -33.64
DOS(E_F) (states/eV/f.u.): 6.32
Theoretical density (g/cm3): 5.66


# Cs2Np2ZnS6

Crystalline Cs2Np2ZnS6 at its relaxed geometry (PBE-GGA, the Alexandria database).

POSCAR file:
```
Cs2Np2ZnS6
1.0
3.328 -6.244 0.000
3.328 6.244 0.000
-2.163 0.000 8.240
Cs Np Zn S
2 2 1 6
direct
0.154 0.846 0.000
0.846 0.154 0.000
0.334 0.666 0.500
0.666 0.334 0.500
0.000 0.000 0.500
0.052 0.417 0.682
0.246 0.246 0.349
0.417 0.052 0.682
0.583 0.948 0.318
0.754 0.754 0.651
0.948 0.583 0.318
```

Computed properties:
Calculated total energy (eV per formula unit): -66.46
DOS(E_F) (states/eV/f.u.): 14.85
Theoretical density (g/cm3): 4.84
ΔE_f (raw) (kJ/mol of formula units): -1237.8


# La2HgSb

Crystalline La2HgSb at its relaxed geometry (PBE-GGA, the Alexandria database).

POSCAR file:
```
La2HgSb
1.0
2.275 1.314 8.000
-2.275 1.314 8.000
0.000 -2.627 8.000
La Hg Sb
2 1 1
direct
0.000 0.000 0.000
0.205 0.205 0.205
0.466 0.466 0.466
0.745 0.745 0.745
```

Computed properties:
Energy above the lowest structure with this stoichiometry (meV/atom): 497
Calculated total energy (eV per formula unit): -15.62
DOS(E_F) (states/eV/f.u.): 3.52
Theoretical density (g/cm3): 6.95
ΔE_f (raw) (kJ/mol of formula units): -129.0


# Ca3Tb3PuTe8

Crystalline Ca3Tb3PuTe8 at its relaxed geometry (PBE-GGA, the Alexandria database).

POSCAR file:
```
Ca3Tb3PuTe8
1.0
4.404 2.543 7.334
-4.404 2.543 7.334
0.000 -5.085 7.334
Ca Tb Pu Te
3 3 1 8
direct
0.000 0.500 0.500
0.500 0.000 0.500
0.500 0.500 0.000
0.000 0.000 0.500
0.000 0.500 0.000
0.500 0.000 0.000
0.500 0.500 0.500
0.240 0.754 0.754
0.246 0.246 0.760
0.246 0.760 0.246
0.249 0.249 0.249
0.751 0.751 0.751
0.754 0.240 0.754
0.754 0.754 0.240
0.760 0.246 0.246
```

Computed properties:
Calculated total energy (eV per formula unit): -80.75
DOS(E_F) (states/eV/f.u.): 20.20
Theoretical density (g/cm3): 6.27
ΔE_f (raw) (kJ/mol of formula units): -2064.2


# Pm3Tm2Ga4

Crystalline Pm3Tm2Ga4 at its relaxed geometry (PBE-GGA, the Alexandria database).

POSCAR file:
```
Pm3Tm2Ga4
1.0
5.535 -2.224 0.000
5.535 2.224 0.000
-0.285 0.000 9.556
Pm Tm Ga
3 2 4
direct
0.000 0.000 0.000
0.380 0.380 0.617
0.620 0.620 0.383
0.318 0.318 0.232
0.682 0.682 0.768
0.081 0.081 0.607
0.303 0.303 0.928
0.697 0.697 0.072
0.919 0.919 0.393
```

Computed properties:
Calculated total energy (eV per formula unit): -39.54
DOS(E_F) (states/eV/f.u.): 7.13
Theoretical density (g/cm3): 7.42